No. 1
PBE-GGA Pr3Ge2Pd7, relaxed; formation enthalpy at 0 K = -0.61 eV per atom; excess energy over the best structure of this formula in the dataset = 0.1343 eV per atom
1.0
-0.342 0.962 3.872
2.203 -3.621 1.094
11.435 9.218 -1.280
Ge Pr Pd
2 3 7
Direct
0.000 0.082 0.165
0.000 0.918 0.835
0.500 0.500 0.000
0.500 0.700 0.401
0.500 0.300 0.599
0.000 0.211 0.422
0.500 0.868 0.736
0.000 0.376 0.751
0.500 0.132 0.264
0.000 0.789 0.578
0.000 0.624 0.249
0.000 0.000 0.000


No. 2
PBE-GGA DyMnGe2Ru, relaxed; formation enthalpy at 0 K = -0.59 eV per atom
1.0
-0.044 0.943 -3.930
0.319 -3.918 -0.944
-5.463 1.063 2.395
Ru Ge Dy Mn
1 2 1 1
Direct
0.250 0.750 0.500
0.619 0.619 0.238
0.381 0.381 0.762
0.000 0.000 0.000
0.750 0.250 0.500


No. 3
PBE-GGA Na4Hf3NpTe8, relaxed; formation energy from raw total energies = -0.81 eV/atom
1.0
8.327 0.000 0.000
0.000 9.118 0.551
-4.163 -4.164 5.889
Hf Te Np Na
3 8 1 4
Direct
0.500 0.500 0.500
0.000 0.500 0.500
0.500 0.500 0.000
0.750 0.273 0.022
0.250 0.727 0.978
0.750 0.273 0.500
0.260 0.280 0.520
0.272 0.273 0.022
0.250 0.727 0.500
0.728 0.727 0.978
0.740 0.720 0.480
0.000 0.500 0.000
0.000 0.000 0.000
0.500 0.000 0.000
0.000 0.000 0.500
0.500 0.000 0.500


No. 4
PBE-GGA PaPtN, relaxed; formation energy from raw total energies = -0.94 eV/atom; excess energy over the best structure of this formula in the dataset = 0.3368 eV per atom
1.0
4.196 0.000 0.000
0.000 3.841 0.000
0.000 -1.920 3.326
N Pa Pt
1 1 1
Direct
0.127 0.000 0.000
0.203 0.667 0.333
0.670 0.333 0.667


No. 5
PBE-GGA CdH3Ir, relaxed; excess energy over the best structure of this formula in the dataset = 0.0000 eV per atom
1.0
-4.712 -1.570 -5.302
3.372 -0.757 0.793
-1.774 -4.768 2.989
H Cd Ir
6 2 2
Direct
0.896 0.845 0.750
0.207 0.813 0.989
0.104 0.155 0.250
0.793 0.187 0.489
0.207 0.813 0.511
0.793 0.187 0.011
0.590 0.385 0.250
0.410 0.615 0.750
0.966 0.450 0.750
0.034 0.550 0.250


No. 6
PBE-GGA TlAg2RhCl8, relaxed; formation energy from raw total energies = -0.56 eV/atom
1.0
6.405 -0.321 -0.002
-0.324 6.177 -0.007
0.006 0.010 7.746
Cl Tl Rh Ag
8 1 1 2
Direct
0.345 0.262 0.500
0.137 0.789 0.219
0.138 0.790 0.781
0.862 0.210 0.219
0.319 0.239 0.000
0.681 0.761 0.000
0.863 0.211 0.781
0.655 0.738 0.500
0.000 0.000 0.500
0.000 0.000 0.000
0.501 0.500 0.237
0.499 0.500 0.763


| no. | V (Å³/atom) |
| --- | --- |
| 1 | 21.30 |
| 2 | 17.46 |
| 3 | 29.14 |
| 4 | 17.87 |
| 5 | 10.33 |
| 6 | 25.47 |